## InMoI2O (PBE+U)

Data for InMoI2O after structural relaxation.

```
5
Lattice="6.100 0.000 0.000 0.000 6.100 0.000 0.000 0.000 3.958" Properties=species:S:1:pos:R:3 pbc="T T T"
I 0.000 3.050 0.000
I 3.050 0.000 0.000
Mo 0.000 0.000 0.000
O 0.000 0.000 1.979
In 3.050 3.050 1.979
```

Energy relative to the lowest polymorph listed for this composition ... 0.000 eV/f.u.
Space group ... P4/mmm, No. 123